No. 1
Compound: Sr2CoSbAu
Source: Alexandria via LeMat-Bulk
Functional: PBE
Structure: optimized geometry

As for the magnetic moment: 1.947 μB/f.u. Its uncorrected formation energy is 259.1 meV/atom. Its space group is P4/mmm.

Lattice parameters (Å, degrees): 6.049 6.049 5.099 90.00 90.00 90.00
Fractional positions:
Sr1 0.000 0.500 0.000
Sr2 0.500 0.000 0.000
Co1 0.000 0.000 0.500
Sb1 0.500 0.500 0.500
Au1 0.500 0.500 0.000

***

No. 2
Compound: Tl2CoSbAu
Source: Alexandria via LeMat-Bulk
Functional: PBE
Structure: optimized geometry

As for the magnetic moment: 1.317 μB/f.u. Its uncorrected formation energy is 473.6 meV/atom. Its space group is P4/mmm.

Lattice parameters (Å, degrees): 5.010 5.010 5.010 90.00 90.00 90.00
Fractional positions:
Tl1 0.000 0.500 0.000
Tl2 0.500 0.000 0.000
Co1 0.000 0.000 0.000
Sb1 0.500 0.500 0.500
Au1 0.000 0.000 0.500

***

No. 3
Compound: ZnCoSbAu2
Source: Alexandria via LeMat-Bulk
Functional: PBE
Structure: optimized geometry

As for the magnetic moment: 1.574 μB/f.u. Its uncorrected formation energy is 537.1 meV/atom. Its space group is P4/mmm.

Lattice parameters (Å, degrees): 4.837 4.837 4.505 90.00 90.00 90.00
Fractional positions:
Zn1 0.000 0.000 0.000
Co1 0.000 0.000 0.500
Sb1 0.500 0.500 0.000
Au1 0.000 0.500 0.500
Au2 0.500 0.000 0.500

***

No. 4
Compound: ScCoAu
Source: Alexandria via LeMat-Bulk
Functional: PBE
Structure: optimized geometry

The formation energy comes out at -0.3944 eV per atom. As for the magnetic moment: 0.000 μB/f.u. Its space group is Cmcm.

Lattice parameters (Å, degrees): 6.092 6.092 4.130 90.00 90.00 141.10
Fractional positions:
Sc1 0.113 0.887 0.750
Sc2 0.887 0.113 0.250
Co1 0.248 0.752 0.250
Co2 0.752 0.248 0.750
Au1 0.407 0.593 0.750
Au2 0.593 0.407 0.250

***

No. 5
Compound: ScCoAu
Source: Alexandria via LeMat-Bulk
Functional: PBE
Structure: optimized geometry

The formation energy comes out at -0.3202 eV per atom. As for the magnetic moment: 1.075 μB/f.u. Its space group is I4mm.

Lattice parameters (Å, degrees): 5.052 5.052 5.052 141.45 141.45 55.66
Fractional positions:
Sc1 0.000 0.000 0.000
Co1 0.651 0.651 0.000
Au1 0.319 0.319 0.000

***

No. 6
Compound: ScCoAu2
Source: Alexandria via LeMat-Bulk
Functional: PBE
Structure: optimized geometry

The formation energy comes out at -0.2755 eV per atom. As for the magnetic moment: 0.920 μB/f.u. Its space group is F-43m.

Lattice parameters (Å, degrees): 4.570 4.570 4.570 60.00 60.00 60.00
Fractional positions:
Sc1 0.000 0.000 0.000
Co1 0.750 0.750 0.750
Au1 0.250 0.250 0.250
Au2 0.500 0.500 0.500

***

No. 7
Compound: Sc5Co2Au2
Source: Alexandria via LeMat-Bulk
Functional: PBE
Structure: optimized geometry

The formation energy comes out at -0.5147 eV per atom. As for the magnetic moment: 0.000 μB/f.u. Its space group is Cmce.

Lattice parameters (Å, degrees): 8.260 8.260 6.769 90.00 90.00 47.75
Fractional positions:
Sc1 0.000 0.000 0.000
Sc2 0.055 0.692 0.682
Sc3 0.192 0.555 0.182
Sc4 0.308 0.945 0.682
Sc5 0.445 0.808 0.182
Sc6 0.500 0.500 0.500
Sc7 0.555 0.192 0.818
Sc8 0.692 0.055 0.318
Sc9 0.808 0.445 0.818
Sc10 0.945 0.308 0.318
Co1 0.116 0.884 0.383
Co2 0.384 0.616 0.883
Co3 0.616 0.384 0.117
Co4 0.884 0.116 0.617
Au1 0.218 0.218 0.000
Au2 0.282 0.282 0.500
Au3 0.718 0.718 0.500
Au4 0.782 0.782 0.000

***

No. 8
Compound: ScCo2Au
Source: Alexandria via LeMat-Bulk
Functional: PBE
Structure: optimized geometry

The formation energy comes out at -0.2316 eV per atom. As for the magnetic moment: 1.725 μB/f.u. Its space group is P4/mmm.

Lattice parameters (Å, degrees): 3.924 3.924 3.761 90.00 90.00 90.00
Fractional positions:
Sc1 0.000 0.000 0.000
Co1 0.000 0.500 0.500
Co2 0.500 0.000 0.500
Au1 0.500 0.500 0.000

***

No. 9
Compound: ScCoAu2
Source: Alexandria via LeMat-Bulk
Functional: PBE
Structure: optimized geometry

The formation energy comes out at -0.3393 eV per atom. As for the magnetic moment: 0.761 μB/f.u. Its space group is Immm.

Lattice parameters (Å, degrees): 5.028 5.028 5.028 133.43 133.27 68.11
Fractional positions:
Sc1 0.000 0.000 0.000
Co1 0.500 0.500 0.000
Au1 0.251 0.751 0.500
Au2 0.749 0.249 0.500

***

No. 10
Compound: Sc2Co2Au
Source: Alexandria via LeMat-Bulk
Functional: PBE
Structure: optimized geometry

The formation energy comes out at -0.4217 eV per atom. As for the magnetic moment: 0.000 μB/f.u. Its space group is P4/mbm.

Lattice parameters (Å, degrees): 6.702 6.702 3.595 90.00 90.00 90.00
Fractional positions:
Sc1 0.178 0.322 0.000
Sc2 0.322 0.822 0.000
Sc3 0.678 0.178 0.000
Sc4 0.822 0.678 0.000
Co1 0.120 0.620 0.500
Co2 0.380 0.120 0.500
Co3 0.620 0.880 0.500
Co4 0.880 0.380 0.500
Au1 0.000 0.000 0.500
Au2 0.500 0.500 0.500

***

No. 11
Compound: ScCoAu
Source: Alexandria via LeMat-Bulk
Functional: PBE
Structure: optimized geometry

The formation energy comes out at -0.0122 eV per atom. As for the magnetic moment: 0.680 μB/f.u. Its space group is P3m1.

Lattice parameters (Å, degrees): 3.134 3.134 6.094 90.00 90.00 120.00
Fractional positions:
Sc1 0.000 0.000 0.000
Co1 0.333 0.667 0.703
Au1 0.667 0.333 0.367

***

No. 12
Compound: ScCoAu
Source: Alexandria via LeMat-Bulk
Functional: PBE
Structure: optimized geometry

The formation energy comes out at -0.2516 eV per atom. As for the magnetic moment: 0.908 μB/f.u. Its space group is P-6m2.

Lattice parameters (Å, degrees): 4.309 4.309 3.244 90.00 90.00 120.00
Fractional positions:
Sc1 0.000 0.000 0.000
Co1 0.667 0.333 0.500
Au1 0.333 0.667 0.500